(1)
First-principles (GGA-PBE) data for MgNb2SeO after structural relaxation, as listed in Alexandria.

abc: 4.8781 4.4754 4.8781
angles: 90.00 90.00 90.00
Closest atoms and distances in Å follow each position.
Element x y z (fractional)
O 0.5000 0.5000 0.5000  8 Nb 3.31, 4 Se 3.45
Nb 0.0000 0.0000 0.5000  2 Mg 2.44
Nb 0.5000 0.0000 0.0000  2 Mg 2.44
Se 0.0000 0.5000 0.0000  2 Mg 2.24
Mg 0.0000 0.0000 0.0000  2 Se 2.24, 4 Nb 2.44

Values from the calculation:
calculated total energy	-21.55	eV for the cell shown
D(E_F)	1.186	states/eV/atom
symmetry	P4/mmm (123)

=====

(2)
First-principles (GGA-PBE) data for LiPrTm after structural relaxation, as listed in Alexandria.

abc: 3.5376 3.5376 30.7647
angles: 104.47 104.47 60.01
Closest atoms and distances in Å follow each position.
Element x y z (fractional)
Li 0.1136 0.1136 0.4630  3 Li 2.98-2.99
Li 0.8864 0.8864 0.5370  3 Li 2.98-2.99
Tm 0.2823 0.2823 0.8489  3 Pr 3.46, 6 Tm 3.54
Tm 0.7177 0.7177 0.1511  3 Pr 3.46, 6 Tm 3.54
Pr 0.2468 0.2468 0.0565  3 Tm 3.46, 6 Pr 3.54
Pr 0.7532 0.7532 0.9435  3 Tm 3.46, 6 Pr 3.54

Values from the calculation:
D(E_F)	1.424	states/eV/atom
symmetry	C2/m (12)
energy above the most stable polymorph in this dataset	289	meV per atom
ΔH_f (0 K)	1.12	eV per formula unit

=====

(3)
First-principles (GGA-PBE) data for LiAcYOs after structural relaxation, as listed in Alexandria.

abc: 5.1162 5.1162 5.1162
angles: 60.00 60.00 60.00
Closest atoms and distances in Å follow each position.
Element x y z (fractional)
Os 0.2500 0.2500 0.2500  4 Ac 3.13, 4 Y 3.13
Y 0.0000 0.0000 0.0000  4 Li 3.13, 4 Os 3.13
Ac 0.5000 0.5000 0.5000  4 Li 3.13, 4 Os 3.13
Li 0.7500 0.7500 0.7500  4 Ac 3.13, 4 Y 3.13

Values from the calculation:
D(E_F)	0.674	states/eV/atom
symmetry	F-43m (216)
ΔH_f (0 K)	-0.18	eV per formula unit

=====

(4)
First-principles (GGA-PBE) data for LaPIr2 after structural relaxation, as listed in Alexandria.

abc: 5.0676 5.0676 5.0676
angles: 130.72 130.72 72.26
Closest atoms and distances in Å follow each position.
Element x y z (fractional)
La 0.2500 0.7500 0.5000  8 Ir 2.94, 4 P 2.99
P 0.7500 0.2500 0.5000  8 Ir 2.94, 4 La 2.99
Ir 0.5000 0.5000 0.0000  4 La 2.94, 4 P 2.94, 4 Ir 2.99
Ir 0.0000 0.0000 0.0000  4 P 2.94, 4 La 2.94, 4 Ir 2.99

Values from the calculation:
D(E_F)	0.635	states/eV/atom
symmetry	I4/mmm (139)
ΔH_f (0 K)	-0.28	eV per formula unit